Density functional theory data (PBE) for an optimized crystal structure of TaHgW2.

* volume: 71 Å³ per cell
* space-group type: Cm
* VASP energy: -35.911 eV/cell
* formation enthalpy at 0 K: 0.538 eV per atom

Structure (CIF):
```
data_TaHgW2
_cell_length_a 5.0297
_cell_length_b 5.0297
_cell_length_c 5.3056
_cell_angle_alpha 83.92
_cell_angle_beta 83.92
_cell_angle_gamma 31.91
_space_group_name_H-M_alt 'P 1'
_space_group_IT_number 1
_space_group_name_Hall 'P 1'
loop_
_atom_site_label
_atom_site_fract_x
_atom_site_fract_y
_atom_site_fract_z
W1 0.0002 0.0002 0.9930
Ta1 0.2488 0.2488 0.2504
W2 0.7517 0.7517 0.7585
Hg1 0.4993 0.4993 0.4981
```